Cs2KInBi2 PBE relaxed; total DFT energy (no corrections) = -2.62 eV per atom; calculated formation energy = -2.39 eV/f.u.; crystal system = orthorhombic
1.0
8.316 0.000 0.000
0.000 7.873 0.000
-4.158 -3.937 8.689
Cs K In Bi
4 2 2 4
direct
0.432 0.170 0.340 Cs
0.568 0.830 0.660 Cs
0.092 0.330 0.660 Cs
0.908 0.670 0.340 Cs
0.000 0.750 0.000 K
0.000 0.250 0.000 K
0.500 0.750 0.000 In
0.500 0.250 0.000 In
0.794 0.096 0.192 Bi
0.397 0.596 0.192 Bi
0.603 0.404 0.808 Bi
0.206 0.904 0.808 Bi